No. 1
Entry from Alexandria via LeMat-Bulk: a relaxed NiOsCl2 crystal (PBE).

Structure (CIF):
```
data_NiOsCl2
_chemical_formula_sum 'Ni3 Os3 Cl6'
_space_group_name_H-M_alt 'R 3 m'
_space_group_IT_number 160
_space_group_name_Hall 'R 3 -2"'
_cell_length_a 3.0664
_cell_length_b 3.0664
_cell_length_c 26.9387
_cell_angle_alpha 90.00
_cell_angle_beta 90.00
_cell_angle_gamma 120.00
loop_
_atom_site_label
_atom_site_type_symbol
_atom_site_fract_x
_atom_site_fract_y
_atom_site_fract_z
Ni1 Ni 0.0000 0.0000 0.0000
Os1 Os 0.0000 0.0000 0.7319
Cl1 Cl 0.0000 0.0000 0.2783
Cl2 Cl 0.0000 0.0000 0.4671
```

Results
E ... -4.9603 eV per atom
Energy above the lowest structure with this stoichiometry ... 10 meV/atom

No. 2
Entry from Alexandria via LeMat-Bulk: a relaxed CaSe3F crystal (PBE).

Structure (CIF):
```
data_CaSe3F
_chemical_formula_sum 'Ca1 Se3 F1'
_space_group_name_H-M_alt 'P m -3 m'
_space_group_IT_number 221
_space_group_name_Hall '-P 4 2 3'
_cell_length_a 5.481
_cell_length_b 5.481
_cell_length_c 5.481
_cell_angle_alpha 90.00
_cell_angle_beta 90.00
_cell_angle_gamma 90.00
loop_
_atom_site_label
_atom_site_type_symbol
_atom_site_fract_x
_atom_site_fract_y
_atom_site_fract_z
Ca1 Ca 0.000 0.000 0.000
Se1 Se 0.000 0.000 0.500
F1 F 0.500 0.500 0.500
```

Results
E ... -2.7390 eV per atom
Energy above the lowest structure with this stoichiometry ... 676 meV/atom

No. 3
Entry from Alexandria via LeMat-Bulk: a relaxed CaDyY4 crystal (PBE).

Structure (CIF):
```
data_CaDyY4
_chemical_formula_sum 'Ca2 Dy2 Y8'
_space_group_name_H-M_alt 'C 1 2/m 1'
_space_group_IT_number 12
_cell_length_a 17.509
_cell_length_b 3.636
_cell_length_c 6.343
_cell_angle_alpha 90.00
_cell_angle_beta 96.87
_cell_angle_gamma 90.00
loop_
_space_group_symop_operation_xyz
'x,y,z'
'-x,-y,-z'
'-x,y,-z'
'x,-y,z'
'x+1/2,y+1/2,z'
'-x+1/2,-y+1/2,-z'
'-x+1/2,y+1/2,-z'
'x+1/2,-y+1/2,z'
loop_
_atom_site_label
_atom_site_type_symbol
_atom_site_fract_x
_atom_site_fract_y
_atom_site_fract_z
Ca1 Ca 0.000 0.000 0.000
Dy1 Dy 0.000 0.500 0.500
Y1 Y 0.168 0.000 0.393
Y2 Y 0.172 0.500 0.886
```

Results
E ... -5.3559 eV per atom

No. 4
Entry from Alexandria via LeMat-Bulk: a relaxed AlCr4Re crystal (PBE).

Structure (CIF):
```
data_AlCr4Re
_chemical_formula_sum 'Al2 Cr8 Re2'
_space_group_name_H-M_alt 'C 1 m 1'
_space_group_IT_number 8
_cell_length_a 8.767
_cell_length_b 4.100
_cell_length_c 5.124
_cell_angle_alpha 90.00
_cell_angle_beta 125.19
_cell_angle_gamma 90.00
loop_
_space_group_symop_operation_xyz
'x,y,z'
'x,-y,z'
'x+1/2,y+1/2,z'
'x+1/2,-y+1/2,z'
loop_
_atom_site_label
_atom_site_type_symbol
_atom_site_fract_x
_atom_site_fract_y
_atom_site_fract_z
Al1 Al 0.000 0.000 0.000
Cr1 Cr 0.175 0.500 0.351
Cr2 Cr 0.315 0.000 0.645
Cr3 Cr 0.341 0.000 0.166
Cr4 Cr 0.493 0.500 0.492
Re1 Re 0.155 0.500 0.833
```

Results
E ... -9.2141 eV per atom
Energy above the lowest structure with this stoichiometry ... 0 meV/atom